Record 1
This record from the Alexandria database describes crystalline Ni2H2W at its relaxed geometry. The functional is PBEsol.

Cell: 6.1971 6.1971 6.1971 Å, 155.31 155.31 35.20°
Last column: nearest neighbours and their distance in Å.
Fractional coordinates of all 5 atoms:
Ni  0.1595  0.1595  0.0000  4 H 1.70
Ni  0.8405  0.8405  0.0000  4 H 1.70
H  0.2500  0.7500  0.5000  4 Ni 1.70, 4 H 1.87
H  0.7500  0.2500  0.5000  4 Ni 1.70, 4 H 1.87
W  0.5000  0.5000  0.0000  4 W 2.65, 8 Ni 2.66

Properties
SG: I4/mmm, No. 139
Crystal system: tetragonal



Record 2
This record from the Alexandria database describes crystalline ZnCu2CS at its relaxed geometry. The functional is PBEsol.

Cell: 4.1327 4.1327 4.7516 Å, 90.00 90.00 90.00°
Last column: nearest neighbours and their distance in Å.
Fractional coordinates of all 5 atoms:
Zn  0.0000  0.0000  0.0000  2 S 2.38
Cu  0.0000  0.5000  0.5000  2 S 2.07
Cu  0.5000  0.0000  0.5000  2 S 2.07
C  0.5000  0.5000  0.0000  4 Zn 2.92, 8 Cu 3.15
S  0.0000  0.0000  0.5000  4 Cu 2.07

Properties
SG: P4/mmm, No. 123
Crystal system: tetragonal



Record 3
This record from the Alexandria database describes crystalline IrRh2Br at its relaxed geometry. The functional is PBEsol.

Cell: 4.3972 4.3972 4.3972 Å, 60.00 60.00 60.00°
Last column: nearest neighbours and their distance in Å.
Fractional coordinates of all 4 atoms:
Ir  0.0000  0.0000  0.0000  8 Rh 2.69
Rh  0.2500  0.2500  0.2500  4 Br 2.69, 4 Ir 2.69
Rh  0.7500  0.7500  0.7500  4 Br 2.69, 4 Ir 2.69
Br  0.5000  0.5000  0.5000  8 Rh 2.69

Properties
ΔE to the lowest computed polymorph in meV/atom: 226.9
SG: Fm-3m, No. 225
Crystal system: cubic



Record 4
This record from the Alexandria database describes crystalline Gd3Cd at its relaxed geometry. The functional is PBEsol.

Cell: 6.8163 6.8163 5.4437 Å, 90.00 90.00 120.00°
Last column: nearest neighbours and their distance in Å.
Fractional coordinates of all 8 atoms:
Gd  0.1726  0.3451  0.2500  8 Gd 3.29-3.53, 4 Cd 3.32-3.41
Gd  0.1726  0.8274  0.2500  8 Gd 3.29-3.53, 4 Cd 3.32-3.41
Gd  0.3451  0.1726  0.7500  8 Gd 3.29-3.53, 4 Cd 3.32-3.41
Gd  0.6549  0.8274  0.2500  8 Gd 3.29-3.53, 4 Cd 3.32-3.41
Gd  0.8274  0.1726  0.7500  8 Gd 3.29-3.53, 4 Cd 3.32-3.41
Gd  0.8274  0.6549  0.7500  8 Gd 3.29-3.53, 4 Cd 3.32-3.41
Cd  0.3333  0.6667  0.7500  12 Gd 3.32-3.41
Cd  0.6667  0.3333  0.2500  12 Gd 3.32-3.41

Properties
SG: P6_3/mmc, No. 194
Crystal system: hexagonal
ΔH_f (0 K) in eV per atom: -0.1390



Record 5
This record from the Alexandria database describes crystalline Mg2CoW at its relaxed geometry. The functional is PBEsol.

Cell: 5.1178 5.1178 5.1178 Å, 137.74 137.74 61.30°
Last column: nearest neighbours and their distance in Å.
Fractional coordinates of all 4 atoms:
Mg  0.2500  0.7500  0.5000  4 Mg 2.61, 4 W 2.87, 4 Co 2.87
Mg  0.7500  0.2500  0.5000  4 Mg 2.61, 4 W 2.87, 4 Co 2.87
Co  0.0000  0.0000  0.0000  4 W 2.61, 8 Mg 2.87
W  0.5000  0.5000  0.0000  4 Co 2.61, 8 Mg 2.87

Properties
ΔE to the lowest computed polymorph in meV/atom: 166.8
SG: I4/mmm, No. 139
Crystal system: tetragonal
ΔH_f (0 K) in eV per atom: 0.5869



Record 6
This record from the Alexandria database describes crystalline SrCrCu at its relaxed geometry. The functional is PBEsol.

Cell: 4.7475 4.7475 4.7475 Å, 60.00 60.00 60.00°
Last column: nearest neighbours and their distance in Å.
Fractional coordinates of all 3 atoms:
Sr  0.0000  0.0000  0.0000  4 Cr 2.91
Cr  0.2500  0.2500  0.2500  4 Cu 2.91, 4 Sr 2.91
Cu  0.5000  0.5000  0.5000  4 Cr 2.91

Properties
ΔE to the lowest computed polymorph in meV/atom: 393.4
SG: F-43m, No. 216
Crystal system: cubic
ΔH_f (0 K) in eV per atom: 1.0018



Record 7
This record from the Alexandria database describes crystalline Zr2BeAg at its relaxed geometry. The functional is PBEsol.

Cell: 4.9879 4.9879 4.9879 Å, 130.70 130.70 72.30°
Last column: nearest neighbours and their distance in Å.
Fractional coordinates of all 4 atoms:
Zr  0.2500  0.7500  0.5000  4 Ag 2.90, 4 Be 2.90, 4 Zr 2.94
Zr  0.7500  0.2500  0.5000  4 Ag 2.90, 4 Be 2.90, 4 Zr 2.94
Be  0.0000  0.0000  0.0000  8 Zr 2.90, 4 Ag 2.94
Ag  0.5000  0.5000  0.0000  8 Zr 2.90, 4 Be 2.94

Properties
SG: I4/mmm, No. 139
Crystal system: tetragonal
ΔH_f (0 K) in eV per atom: 0.0436



Record 8
This record from the Alexandria database describes crystalline NaBe2Pb2 at its relaxed geometry. The functional is PBEsol.

Cell: 6.6422 6.6422 6.6422 Å, 143.00 143.00 53.33°
Last column: nearest neighbours and their distance in Å.
Fractional coordinates of all 5 atoms:
Na  0.0000  0.0000  0.0000  8 Pb 3.35, 8 Be 3.64
Be  0.2500  0.7500  0.5000  4 Pb 2.56
Be  0.7500  0.2500  0.5000  4 Pb 2.56
Pb  0.3719  0.3719  0.0000  4 Be 2.56
Pb  0.6281  0.6281  0.0000  4 Be 2.56

Properties
SG: I4/mmm, No. 139
Crystal system: tetragonal
ΔH_f (0 K) in eV per atom: 0.3386



Record 9
This record from the Alexandria database describes crystalline MgZn2GePd at its relaxed geometry. The functional is PBEsol.

Cell: 4.7020 4.7020 4.8055 Å, 90.00 90.00 90.00°
Last column: nearest neighbours and their distance in Å.
Fractional coordinates of all 5 atoms:
Mg  0.0000  0.0000  0.0000  4 Zn 2.35, 2 Ge 2.40
Zn  0.0000  0.5000  0.0000  2 Mg 2.35
Zn  0.5000  0.0000  0.0000  2 Mg 2.35
Ge  0.0000  0.0000  0.5000  2 Mg 2.40
Pd  0.5000  0.5000  0.5000  4 Ge 3.32, 8 Zn 3.36

Properties
SG: P4/mmm, No. 123
Crystal system: tetragonal
ΔH_f (0 K) in eV per atom: 0.9374



Record 10
This record from the Alexandria database describes crystalline ZnCrHg2 at its relaxed geometry. The functional is PBEsol.

Cell: 4.7555 4.7555 5.2575 Å, 100.94 100.94 38.41°
Last column: nearest neighbours and their distance in Å.
Fractional coordinates of all 4 atoms:
Zn  0.0000  0.0000  0.0000  6 Hg 2.81-2.84, 4 Cr 3.06, 2 Zn 3.13
Cr  0.5000  0.5000  0.5000  6 Hg 2.83, 4 Zn 3.06, 2 Cr 3.13
Hg  0.2492  0.2492  0.7499  3 Zn 2.81-2.84, 3 Cr 2.83, 6 Hg 3.06-3.13
Hg  0.7508  0.7508  0.2501  3 Zn 2.81-2.84, 3 Cr 2.83, 6 Hg 3.06-3.13

Properties
SG: C2/m, No. 12
Crystal system: monoclinic
ΔH_f (0 K) in eV per atom: 0.3398



Record 11
This record from the Alexandria database describes crystalline ZrIr2Se at its relaxed geometry. The functional is PBEsol.

Cell: 3.9788 3.9788 4.0754 Å, 90.00 90.00 90.00°
Last column: nearest neighbours and their distance in Å.
Fractional coordinates of all 4 atoms:
Zr  0.0000  0.0000  0.0000  4 Se 2.81, 8 Ir 2.85
Ir  0.0000  0.5000  0.5000  4 Ir 2.81, 4 Zr 2.85, 4 Se 2.85
Ir  0.5000  0.0000  0.5000  4 Ir 2.81, 4 Zr 2.85, 4 Se 2.85
Se  0.5000  0.5000  0.0000  4 Zr 2.81, 8 Ir 2.85

Properties
SG: P4/mmm, No. 123
Crystal system: tetragonal



Record 12
This record from the Alexandria database describes crystalline NaSc3P8H14O24 at its relaxed geometry. The functional is PBEsol.

Cell: 7.2281 9.6120 9.6152 Å, 115.40 101.19 100.69°
Last column: nearest neighbours and their distance in Å.
Fractional coordinates of all 50 atoms:
Na  0.0000  0.0000  0.0000  6 O 2.31-2.46
Sc  0.0000  0.5000  0.5000  6 O 2.07-2.15
Sc  0.4984  0.2249  0.7683  6 O 2.03-2.16
Sc  0.5016  0.7751  0.2317  6 O 2.03-2.16
P  0.1961  0.8455  0.4750  1 H 1.41, 3 O 1.52-1.55
P  0.2056  0.3735  0.0101  1 H 1.41, 2 O 1.51
P  0.3069  0.2507  0.4220  1 H 1.41, 2 O 1.51-1.53
P  0.3239  0.7735  0.8761  1 H 1.41, 2 O 1.52
P  0.6761  0.2265  0.1239  1 H 1.41, 2 O 1.52
P  0.6931  0.7493  0.5780  1 H 1.41, 2 O 1.51-1.53
P  0.7944  0.6265  0.9899  1 H 1.41, 2 O 1.51
P  0.8039  0.1545  0.5250  1 H 1.41, 3 O 1.52-1.55
H  0.0161  0.8804  0.4436  1 P 1.41
H  0.0275  0.3830  0.9289  1 P 1.41
H  0.1561  0.3318  0.2170  1 O 1.02
H  0.2399  0.9865  0.2973  1 O 1.03
H  0.2752  0.9407  0.7804  1 O 1.04
H  0.4835  0.1995  0.1381  1 P 1.41
H  0.4931  0.3083  0.4081  1 P 1.41
H  0.5069  0.6917  0.5919  1 P 1.41
H  0.5165  0.8005  0.8619  1 P 1.41
H  0.7248  0.0593  0.2196  1 O 1.04
H  0.7601  0.0135  0.7027  1 O 1.03
H  0.8439  0.6682  0.7830  1 O 1.02
H  0.9725  0.6170  0.0711  1 P 1.41
H  0.9839  0.1196  0.5564  1 P 1.41
O  0.1407  0.2733  0.0967  1 H 1.02
O  0.1495  0.6773  0.4588  1 P 1.52
O  0.1837  0.3576  0.3999  1 P 1.53, 1 H 1.63
O  0.1938  0.6124  0.7328  1 P 1.52
O  0.2045  0.0747  0.2727  1 H 1.03
O  0.2530  0.9190  0.8739  1 H 1.04
O  0.2885  0.2716  0.8833  1 P 1.51
O  0.2925  0.8603  0.3499  1 P 1.54, 1 H 1.58
O  0.3249  0.9740  0.6501  1 H 1.51, 1 P 1.55
O  0.3348  0.7889  0.0413  1 P 1.52
O  0.3360  0.2427  0.5775  1 P 1.51
O  0.3388  0.5403  0.1365  1 P 1.51
O  0.6612  0.4597  0.8635  1 P 1.51
O  0.6640  0.7573  0.4225  1 P 1.51
O  0.6652  0.2111  0.9587  1 P 1.52
O  0.6751  0.0260  0.3499  1 H 1.51, 1 P 1.55
O  0.7075  0.1397  0.6501  1 P 1.54, 1 H 1.58
O  0.7115  0.7284  0.1167  1 P 1.51
O  0.7470  0.0810  0.1261  1 H 1.04
O  0.7955  0.9253  0.7273  1 H 1.03
O  0.8062  0.3876  0.2672  1 P 1.52
O  0.8163  0.6424  0.6001  1 P 1.53, 1 H 1.63
O  0.8505  0.3227  0.5412  1 P 1.52
O  0.8593  0.7267  0.9033  1 H 1.02

Properties
SG: P-1, No. 2
Crystal system: triclinic



D(E_F) values (in states/eV/f.u.) by entry order: 1.711; 2.455; 6.332; 5.268; 3.871; 1.467; 3.473; 0.967; 2.485; 1.860; 2.983; 0.000.
DFT total energy values (in eV per cell) by entry order: -32.7; -16.8; -24.7; -90.2; -22.6; -13.4; -25.3; -15.7; -11.1; -11.6; -33.6; -332.0.